8
Lattice="-2.891 2.891 10.315 2.891 -2.891 10.315 2.891 2.891 -10.315" Properties=species:S:1:pos:R:3 comment="Sr6LiGa | Alexandria | PBE | optimized geometry" e_form_ev_per_fu=-0.68 sg="I4/mmm, No. 139" pbc="T T T"
Sr 2.891 0.000 1.938
Sr 0.000 0.000 5.144
Sr 2.891 0.000 8.377
Sr 0.000 2.891 1.938
Sr 0.000 0.000 15.486
Sr 0.000 2.891 8.377
Li 0.000 0.000 0.000
Ga 0.000 0.000 10.315

4
Lattice="2.151 1.242 4.468 -2.151 1.242 4.468 0.000 -2.483 4.468" Properties=species:S:1:pos:R:3 comment="GdCu2Rh | Alexandria | PBE | optimized geometry" e_form_ev_per_fu=-1.02 sg="R-3m, No. 166" relative_energy_mev_per_atom=44 pbc="T T T"
Gd 0.000 0.000 0.000
Cu 0.000 0.000 2.771
Cu 0.000 0.000 10.632
Rh 0.000 0.000 6.702

5
Lattice="5.315 0.000 0.000 0.000 5.315 0.000 0.000 0.000 4.653" Properties=species:S:1:pos:R:3 comment="MnAsIrBr2 | Alexandria | PBE | optimized geometry" sg="P4/mmm, No. 123" relative_energy_mev_per_atom=0 raw_formation_energy_ev_per_atom=0.577 pbc="T T T"
Mn 0.000 0.000 0.000
As 2.657 2.657 0.000
Ir 2.657 2.657 2.327
Br 0.000 2.657 2.327
Br 2.657 0.000 2.327

8
Lattice="-6.317 6.317 2.072 6.317 -6.317 2.072 6.317 6.317 -2.072" Properties=species:S:1:pos:R:3 comment="Cs2SeN | Alexandria | PBE | optimized geometry" sg="I-42d, No. 122" relative_energy_mev_per_atom=0 raw_formation_energy_ev_per_atom=0.139 pbc="T T T"
Cs -0.209 3.158 0.518
Cs 3.158 6.108 1.554
Cs 0.209 9.475 0.518
Cs -3.158 6.525 1.554
Se 6.317 0.000 1.036
Se 0.000 0.000 2.072
N 0.000 0.000 0.000
N 0.000 6.317 1.036

5
Lattice="5.066 0.000 0.000 0.000 5.066 0.000 0.000 0.000 4.842" Properties=species:S:1:pos:R:3 comment="ErTh2AgC | Alexandria | PBE | optimized geometry" e_form_ev_per_fu=-0.67 sg="P4/mmm, No. 123" pbc="T T T"
Er 0.000 0.000 0.000
Th 0.000 2.533 2.421
Th 2.533 0.000 2.421
Ag 2.533 2.533 0.000
C 0.000 0.000 2.421

5
Lattice="5.526 0.000 0.000 0.000 5.526 0.000 0.000 0.000 3.745" Properties=species:S:1:pos:R:3 comment="Cd2IrIN | Alexandria | PBE | optimized geometry" sg="P4/mmm, No. 123" raw_formation_energy_ev_per_atom=0.107 pbc="T T T"
Cd 0.000 2.763 0.000
Cd 2.763 0.000 0.000
Ir 0.000 0.000 0.000
I 2.763 2.763 1.872
N 0.000 0.000 1.872